The following is a DFT calculation (PBE) of a relaxed structure of Pr2SmHo4Sc.

Lattice parameters (Å, degrees): 13.569 13.125 6.764 90.00 119.88 90.00
Space group C2/c (No. 15)
Symmetry-distinct sites (fractional):
Pr  0.000  0.000  0.000 [4 per cell]
Pr  0.250  0.250  0.000 [4 per cell]
Sm  0.250  0.250  0.500 [4 per cell]
Ho  0.000  0.265  0.000 [8 per cell]
Ho  0.233  0.500  0.482 [8 per cell]
Sc  0.000  0.500  0.000 [4 per cell]

Calculated values
* M_tot: 0.114 μB per atom
* E_form: 411 meV/atom